# CsRb2Tl3Cl6

Crystalline CsRb2Tl3Cl6 at its relaxed geometry (PBE, Alexandria via LeMat-Bulk).

- space group = C2/m, No. 12
- E_tot (eV per cell) = -38.7
- magnetization (μB per atom) = 0.000
- crystal system = monoclinic

Unit cell a=4.721 b=9.401 c=10.526 alpha=102.35 beta=102.96 gamma=90.00
Fractional positions:
Tl: 0.500 0.500 0.000
Tl: 0.169 0.833 0.338
Tl: 0.831 0.167 0.662
Cl: 0.665 0.587 0.330
Cl: 0.335 0.413 0.670
Cl: 0.673 0.089 0.346
Cl: 0.998 0.731 0.995
Cl: 0.327 0.911 0.654
Cl: 0.002 0.269 0.005
Rb: 0.831 0.662 0.663
Rb: 0.169 0.338 0.337
Cs: 0.500 0.000 0.000